(1)
Entry from Alexandria via LeMat-Bulk: La3Pu5O12 after structural relaxation (GGA-PBE).

Cell lengths 12.0518, 12.0518, 12.0518 Å; angles 109.47, 109.47, 109.47 degrees
Last column: nearest neighbours and their distance in Å.
Positions (direct):
La 0.1250 0.2500 0.3750  8 O 2.61-2.64
La 0.1250 0.3750 0.7500  8 O 2.61-2.64
La 0.2500 0.3750 0.1250  8 O 2.61-2.64
La 0.2500 0.8750 0.6250  8 O 2.61-2.64
La 0.3750 0.1250 0.2500  8 O 2.61-2.64
La 0.3750 0.7500 0.1250  8 O 2.61-2.64
La 0.6250 0.2500 0.8750  8 O 2.61-2.64
La 0.6250 0.8750 0.7500  8 O 2.61-2.64
La 0.7500 0.1250 0.3750  8 O 2.61-2.64
La 0.7500 0.6250 0.8750  8 O 2.61-2.64
La 0.8750 0.6250 0.2500  8 O 2.61-2.64
La 0.8750 0.7500 0.6250  8 O 2.61-2.64
Pu 0.0000 0.0000 0.0000  6 O 2.30
Pu 0.0000 0.0000 0.5000  6 O 2.30
Pu 0.0000 0.5000 0.0000  6 O 2.30
Pu 0.0000 0.5000 0.5000  6 O 2.30
Pu 0.1250 0.7500 0.8750  4 O 2.18
Pu 0.1250 0.8750 0.2500  4 O 2.18
Pu 0.2500 0.1250 0.8750  4 O 2.18
Pu 0.2500 0.6250 0.3750  4 O 2.18
Pu 0.3750 0.2500 0.6250  4 O 2.18
Pu 0.3750 0.6250 0.7500  4 O 2.18
Pu 0.5000 0.0000 0.0000  6 O 2.30
Pu 0.5000 0.0000 0.5000  6 O 2.30
Pu 0.5000 0.5000 0.0000  6 O 2.30
Pu 0.5000 0.5000 0.5000  6 O 2.30
Pu 0.6250 0.3750 0.2500  4 O 2.18
Pu 0.6250 0.7500 0.3750  4 O 2.18
Pu 0.7500 0.3750 0.6250  4 O 2.18
Pu 0.7500 0.8750 0.1250  4 O 2.18
Pu 0.8750 0.1250 0.7500  4 O 2.18
Pu 0.8750 0.2500 0.1250  4 O 2.18
O 0.0421 0.2145 0.1295  2 Pu 2.18-2.30
O 0.0421 0.3276 0.9127  2 Pu 2.18-2.30
O 0.0850 0.7145 0.6724  2 Pu 2.18-2.30
O 0.0850 0.8705 0.4127  2 Pu 2.18-2.30
O 0.0873 0.6295 0.4150  2 Pu 2.18-2.30
O 0.0873 0.9579 0.6724  2 Pu 2.18-2.30
O 0.1295 0.0421 0.2145  2 Pu 2.18-2.30
O 0.1295 0.5873 0.9150  2 Pu 2.18-2.30
O 0.1724 0.2145 0.5850  2 Pu 2.18-2.30
O 0.1724 0.4579 0.5873  2 Pu 2.18-2.30
O 0.2145 0.1295 0.0421  2 Pu 2.18-2.30
O 0.2145 0.5850 0.1724  2 Pu 2.18-2.30
O 0.2855 0.3276 0.9150  2 Pu 2.18-2.30
O 0.2855 0.4579 0.3705  2 Pu 2.18-2.30
O 0.3276 0.9127 0.0421  2 Pu 2.18-2.30
O 0.3276 0.9150 0.2855  2 Pu 2.18-2.30
O 0.3705 0.2855 0.4579  2 Pu 2.18-2.30
O 0.3705 0.5850 0.9127  2 Pu 2.18-2.30
O 0.4127 0.0850 0.8705  2 Pu 2.18-2.30
O 0.4127 0.8276 0.5421  2 Pu 2.18-2.30
O 0.4150 0.0873 0.6295  2 Pu 2.18-2.30
O 0.4150 0.8276 0.7855  2 Pu 2.18-2.30
O 0.4579 0.3705 0.2855  2 Pu 2.18-2.30
O 0.4579 0.5873 0.1724  2 Pu 2.18-2.30
O 0.5421 0.4127 0.8276  2 Pu 2.18-2.30
O 0.5421 0.6295 0.7145  2 Pu 2.18-2.30
O 0.5850 0.1724 0.2145  2 Pu 2.18-2.30
O 0.5850 0.9127 0.3705  2 Pu 2.18-2.30
O 0.5873 0.1724 0.4579  2 Pu 2.18-2.30
O 0.5873 0.9150 0.1295  2 Pu 2.18-2.30
O 0.6295 0.4150 0.0873  2 Pu 2.18-2.30
O 0.6295 0.7145 0.5421  2 Pu 2.18-2.30
O 0.6724 0.0850 0.7145  2 Pu 2.18-2.30
O 0.6724 0.0873 0.9579  2 Pu 2.18-2.30
O 0.7145 0.5421 0.6295  2 Pu 2.18-2.30
O 0.7145 0.6724 0.0850  2 Pu 2.18-2.30
O 0.7855 0.4150 0.8276  2 Pu 2.18-2.30
O 0.7855 0.8705 0.9579  2 Pu 2.18-2.30
O 0.8276 0.5421 0.4127  2 Pu 2.18-2.30
O 0.8276 0.7855 0.4150  2 Pu 2.18-2.30
O 0.8705 0.4127 0.0850  2 Pu 2.18-2.30
O 0.8705 0.9579 0.7855  2 Pu 2.18-2.30
O 0.9127 0.0421 0.3276  2 Pu 2.18-2.30
O 0.9127 0.3705 0.5850  2 Pu 2.18-2.30
O 0.9150 0.1295 0.5873  2 Pu 2.18-2.30
O 0.9150 0.2855 0.3276  2 Pu 2.18-2.30
O 0.9579 0.6724 0.0873  2 Pu 2.18-2.30
O 0.9579 0.7855 0.8705  2 Pu 2.18-2.30

Values from the calculation:
- Formation energy (no corrections): -3.031 eV/atom

(2)
Entry from Alexandria via LeMat-Bulk: La2PuO8 after structural relaxation (GGA-PBE).

Cell lengths 7.0952, 7.0952, 5.1543 Å; angles 109.47, 109.47, 35.76 degrees
Last column: nearest neighbours and their distance in Å.
Positions (direct):
La 0.1630 0.1630 0.1617  9 O 2.49-2.73
La 0.8370 0.8370 0.8383  9 O 2.49-2.73
Pu 0.5000 0.5000 0.5000  4 O 1.89-1.96
O 0.0029 0.0029 0.7305  3 O 2.35-2.58, 2 Pu 2.47, 2 La 2.49-2.50
O 0.2286 0.2286 0.6837  1 O 2.26, 1 La 2.52
O 0.3765 0.3765 0.1801  1 Pu 1.89
O 0.3962 0.3962 0.6868  1 Pu 1.96
O 0.6038 0.6038 0.3132  1 Pu 1.96
O 0.6235 0.6235 0.8199  1 Pu 1.89
O 0.7714 0.7714 0.3163  1 O 2.26, 1 La 2.52
O 0.9971 0.9971 0.2695  3 O 2.35-2.58, 2 Pu 2.47, 2 La 2.49-2.50

Values from the calculation:
- Formation energy (no corrections): -2.240 eV/atom

(3)
Entry from Alexandria via LeMat-Bulk: La2PuO after structural relaxation (GGA-PBE).

Cell lengths 3.2109, 3.2109, 8.8905 Å; angles 90.00, 90.00, 90.00 degrees
Last column: nearest neighbours and their distance in Å.
Positions (direct):
La 0.0000 0.0000 0.1795  4 O 2.77
La 0.0000 0.0000 0.8205  4 O 2.77
Pu 0.5000 0.5000 0.5000  4 Pu 3.21
O 0.5000 0.5000 0.0000  8 La 2.77

Values from the calculation:
- Energy relative to the lowest polymorph listed for this composition: 227 meV per atom
- Formation energy (no corrections): -0.834 eV/atom